Compound: Sc2UNiO8
Source: Alexandria
Functional: GGA+U
Structure: optimized geometry

```
12
Lattice="4.789 0.000 0.000 0.000 6.320 0.000 -0.167 0.000 4.790" Properties=species:S:1:pos:R:3 pbc="T T T"
Sc 0.000 1.460 0.000
Sc 0.000 4.861 0.000
U 2.311 3.160 2.395
Ni 2.311 0.000 2.395
O 0.901 3.160 0.919
O 0.992 0.000 1.018
O 1.396 1.465 3.269
O 1.396 4.856 3.269
O 3.226 1.465 1.521
O 3.226 4.856 1.521
O 3.630 0.000 3.772
O 3.720 3.160 3.871
```

Calculated values
**Space group**: P2/m (10)
**E**: -8.0106 eV/atom